{"formula": "Na5TlPd", "functional": "GGA-PBE", "state": "relaxed", "volume_a3_per_atom": 27.288, "energy_ev_per_atom": -2.075, "n_ef_per_ev_atom": 0.45, "ef_ev_per_atom": -0.053, "cell": [[4.2127, -4.0790, 0.0000], [4.2127, 4.0790, 0.0000], [-0.0225, 0.0000, 11.1162]], "species": ["Na", "Na", "Na", "Na", "Na", "Na", "Na", "Na", "Na", "Na", "Tl", "Tl", "Pd", "Pd"], "frac_coords": [[0.0485, 0.3414, 0.6016], [0.0491, 0.3424, 0.8978], [0.1763, 0.8237, 0.7500], [0.3414, 0.0485, 0.1016], [0.3424, 0.0491, 0.3978], [0.6576, 0.9509, 0.6022], [0.6586, 0.9515, 0.8984], [0.8237, 0.1763, 0.2500], [0.9509, 0.6576, 0.1022], [0.9515, 0.6586, 0.3984], [0.4372, 0.5628, 0.2500], [0.5628, 0.4372, 0.7500], [0.5000, 0.5000, 0.0000], [0.5000, 0.5000, 0.5000]]}